The following is a DFT calculation (PBE-GGA) of crystalline Tb10Ho4Tm at its relaxed geometry.

Summary:
The volume comes out at 559.1 Å³ per cell. The density of states at the Fermi level comes out at 1.112 states/eV per atom. As for the energy relative to the elements: 0.7206 eV/atom.

Cell lengths 7.648, 9.367, 9.367 Å; angles 80.40, 65.90, 65.90 degrees
Fractional coordinates of all 15 atoms:
Tb (0.550, 0.101, 0.299)
Tb (0.349, 0.701, 0.101)
Ho (0.799, 0.600, 0.801)
Ho (0.600, 0.199, 0.600)
Tb (0.651, 0.299, 0.899)
Tb (0.750, 0.500, 0.500)
Ho (0.400, 0.801, 0.400)
Tb (0.049, 0.101, 0.299)
Tb (0.850, 0.701, 0.101)
Tb (0.450, 0.899, 0.701)
Tb (0.150, 0.299, 0.899)
Tb (0.250, 0.500, 0.500)
Tm (0.000, 0.000, 0.000)
Ho (0.201, 0.400, 0.199)
Tb (0.951, 0.899, 0.701)